Record 1
! MgCu3 PBE optimized geometry; values from VASP
! - E_tot: -14.1 eV/f.u.
! - Symmetry: No. 12
! - ΔH_f (0 K): -0.061 eV/atom
&SYSTEM
  ibrav = 0, nat = 8, ntyp = 2
/
ATOMIC_SPECIES
Mg 24.30 Mg.upf
Cu 63.55 Cu.upf
CELL_PARAMETERS angstrom
2.639 -2.642 0.000
2.639 2.642 0.000
-2.589 0.000 7.669
ATOMIC_POSITIONS angstrom
Mg 0.013 0.000 1.933
Mg 2.677 0.000 5.736
Cu 1.320 1.321 0.000
Cu 1.345 1.319 3.835
Cu 0.039 0.000 5.776
Cu 1.320 -1.321 0.000
Cu 2.651 0.000 1.893
Cu 1.345 -1.319 3.835



Record 2
! Mg3Cu PBE optimized geometry; values from VASP
! - E_tot: -8.3 eV/f.u.
! - Symmetry: No. 25
! - ΔH_f (0 K): 0.133 eV/atom
&SYSTEM
  ibrav = 0, nat = 4, ntyp = 2
/
ATOMIC_SPECIES
Mg 24.30 Mg.upf
Cu 63.55 Cu.upf
CELL_PARAMETERS angstrom
3.041 0.000 0.000
0.000 3.064 0.000
0.000 0.000 8.963
ATOMIC_POSITIONS angstrom
Mg 0.000 0.000 0.000
Mg 0.000 1.532 3.799
Mg 1.521 1.532 6.586
Cu 1.521 0.000 2.193



Record 3
! MgCu PBE optimized geometry; values from VASP
! - E_tot: -4.3 eV/f.u.
! - Symmetry: No. 216
! - ΔH_f (0 K): 0.695 eV/atom
&SYSTEM
  ibrav = 0, nat = 2, ntyp = 2
/
ATOMIC_SPECIES
Mg 24.30 Mg.upf
Cu 63.55 Cu.upf
CELL_PARAMETERS angstrom
0.000 2.947 2.947
2.947 0.000 2.947
2.947 2.947 0.000
ATOMIC_POSITIONS angstrom
Mg 0.000 0.000 0.000
Cu 1.474 1.474 1.474



Record 4
! Mg3Cu PBE optimized geometry; values from VASP
! - E_tot: -8.8 eV/f.u.
! - Symmetry: No. 63
! - ΔH_f (0 K): 0.025 eV/atom
&SYSTEM
  ibrav = 0, nat = 8, ntyp = 2
/
ATOMIC_SPECIES
Mg 24.30 Mg.upf
Cu 63.55 Cu.upf
CELL_PARAMETERS angstrom
3.065 -5.183 0.000
3.065 5.183 0.000
0.000 0.000 4.776
ATOMIC_POSITIONS angstrom
Mg 3.065 4.255 3.582
Mg 1.615 1.587 3.582
Mg 1.615 -1.587 1.194
Mg 4.515 1.587 3.582
Mg 4.515 -1.587 1.194
Mg 3.065 -4.255 1.194
Cu 3.065 0.918 1.194
Cu 3.065 -0.918 3.582